Compound: YTm5Ag4
Source: Alexandria
Functional: PBE
Structure: relaxed

## Properties
Formation energy ... -0.260 eV/atom
ρ ... 9.2 Mg/m³
Raw total energy ... -42.83 eV for the cell shown
Crystal system ... tetragonal

Lattice parameters (Å, degrees): 3.5650 3.5650 19.4801 90.00 90.00 90.00
Last column: nearest neighbours and their distance in Å.
Space group P4/mmm (No. 123)
Inequivalent atoms, fractional coordinates:
Y 0.0000 0.0000 0.0000  8 Tm 3.53, 4 Y 3.56
Tm 0.5000 0.5000 0.1269  4 Ag 3.10
Tm 0.5000 0.5000 0.3127  8 Ag 3.10-3.12
Tm 0.5000 0.5000 0.5000  8 Ag 3.10
Ag 0.0000 0.0000 0.2199  8 Tm 3.10
Ag 0.0000 0.0000 0.4074  8 Tm 3.10-3.12